MgVTeO6: relaxed, GGA+U.

Values from the calculation:
E ... -6.33 eV/atom
Symmetry ... No. 163

Unit cell a=5.1036 b=5.1036 c=9.1493 alpha=90.00 beta=90.00 gamma=120.00
Closest atoms and distances in Å follow each position.
Positions (direct):
O: 0.6469 0.9993 0.3652  1 Te 1.96, 1 V 1.96, 1 Mg 2.18
V: 0.6667 0.3333 0.2500  6 O 1.96
O: 0.6475 0.6469 0.6348  1 Te 1.96, 1 V 1.96, 1 Mg 2.18
Te: 0.3333 0.6667 0.2500  6 O 1.96
O: 0.3525 0.9993 0.1348  1 Te 1.96, 1 V 1.96, 1 Mg 2.18
O: 0.6469 0.6475 0.1348  1 Te 1.96, 1 V 1.96, 1 Mg 2.18
O: 0.9993 0.3525 0.6348  1 Te 1.96, 1 V 1.96, 1 Mg 2.18
O: 0.3531 0.3525 0.8652  1 Te 1.96, 1 V 1.96, 1 Mg 2.18
Mg: 0.0000 0.0000 0.5000  6 O 2.18
O: 0.9993 0.6469 0.8652  1 Te 1.96, 1 V 1.96, 1 Mg 2.18
O: 0.0007 0.6475 0.3652  1 Te 1.96, 1 V 1.96, 1 Mg 2.18
O: 0.3531 0.0007 0.6348  1 Te 1.96, 1 V 1.96, 1 Mg 2.18
V: 0.3333 0.6667 0.7500  6 O 1.96
Te: 0.6667 0.3333 0.7500  6 O 1.96
O: 0.3525 0.3531 0.3652  1 Te 1.96, 1 V 1.96, 1 Mg 2.18
O: 0.0007 0.3531 0.1348  1 Te 1.96, 1 V 1.96, 1 Mg 2.18
Mg: 0.0000 0.0000 0.0000  6 O 2.18
O: 0.6475 0.0007 0.8652  1 Te 1.96, 1 V 1.96, 1 Mg 2.18